Record 1
! Na2InBi2 | Alexandria via LeMat-Bulk | GGA-PBE | relaxed; values from VASP
&SYSTEM
  ibrav = 0, nat = 10, ntyp = 3
/
ATOMIC_SPECIES
Na 22.99 Na.upf
In 114.82 In.upf
Bi 208.98 Bi.upf
CELL_PARAMETERS angstrom
9.6168 0.0000 0.0000
0.0000 9.6168 0.0000
0.0000 0.0000 3.2853
ATOMIC_POSITIONS crystal
Na 0.1211 0.3789 0.0000
Na 0.3789 0.8789 0.0000
Na 0.6211 0.1211 0.0000
Na 0.8789 0.6211 0.0000
In 0.0000 0.0000 0.0000
In 0.5000 0.5000 0.0000
Bi 0.3233 0.1767 0.5000
Bi 0.6767 0.8233 0.5000
Bi 0.1767 0.6767 0.5000
Bi 0.8233 0.3233 0.5000
! - Formation energy from the elements: -0.6 eV/f.u.
! - Calculated volume: 30.4 Å³/atom
! - Space-group type: No. 127
! - Energy above the most stable polymorph in this dataset: 103 meV per atom

=====

Record 2
! PmZr2Tc9 | Alexandria via LeMat-Bulk | GGA-PBE | relaxed; values from VASP
&SYSTEM
  ibrav = 0, nat = 12, ntyp = 3
/
ATOMIC_SPECIES
Tc 98.00 Tc.upf
Pm 145.00 Pm.upf
Zr 91.22 Zr.upf
CELL_PARAMETERS angstrom
5.0688 0.0000 1.5085
2.3099 4.5119 1.5085
0.0206 0.0126 9.2007
ATOMIC_POSITIONS crystal
Tc 0.6637 0.6637 0.0089
Tc 0.5000 0.5000 0.5000
Tc 0.5905 0.5905 0.7430
Tc 0.5905 0.0760 0.7430
Tc 0.9240 0.4095 0.2570
Tc 0.3363 0.3363 0.9911
Tc 0.4095 0.9240 0.2570
Tc 0.4095 0.4095 0.2570
Tc 0.0760 0.5905 0.7430
Pm 0.0000 0.0000 0.0000
Zr 0.8570 0.8570 0.4290
Zr 0.1430 0.1430 0.5710
! - Formation energy from the elements: -1.3 eV/f.u.
! - Calculated volume: 17.5 Å³/atom
! - Space-group type: No. 166

=====

Record 3
! AcAg2SeS2 | Alexandria via LeMat-Bulk | GGA-PBE | relaxed; values from VASP
&SYSTEM
  ibrav = 0, nat = 12, ntyp = 4
/
ATOMIC_SPECIES
S 32.06 S.upf
Ag 107.87 Ag.upf
Se 78.96 Se.upf
Ac 227.00 Ac.upf
CELL_PARAMETERS angstrom
-5.1874 -1.1241 -2.1130
-1.5352 -2.0917 4.8816
-2.7130 8.5817 2.0953
ATOMIC_POSITIONS crystal
S 0.5088 0.2645 0.1355
S 0.4912 0.7355 0.8645
S 0.0088 0.7355 0.8645
S 0.9912 0.2645 0.1355
Ag 0.2500 0.7088 0.6126
Ag 0.7500 0.6902 0.6137
Ag 0.7500 0.2912 0.3874
Ag 0.2500 0.3098 0.3863
Se 0.2500 0.8093 0.3507
Se 0.7500 0.1907 0.6493
Ac 0.7500 0.7652 0.1491
Ac 0.2500 0.2348 0.8509
! - Calculated volume: 24.3 Å³/atom
! - Space-group type: No. 11
! - Formation energy (no corrections): -0.725 eV per atom

=====

> calculated volume of number 2 (PmZr2Tc9)?

17.5 Å³/atom